Record 1
The following is a PBE calculation of CaPm5Pb3 after structural relaxation, from Alexandria.

Properties
Total moment in μB per atom: 0.240
Calculated formation energy in kcal/mol of atoms: -10.14

The structure in CIF format:
```
data_CaPm5Pb3
_chemical_formula_sum 'Ca2 Pm10 Pb6'
_space_group_name_H-M_alt 'P 63/m c m'
_space_group_IT_number 193
_space_group_name_Hall '-P 6c 2'
_cell_length_a 9.6950
_cell_length_b 9.6950
_cell_length_c 6.8112
_cell_angle_alpha 90.00
_cell_angle_beta 90.00
_cell_angle_gamma 120.00
loop_
_atom_site_label
_atom_site_fract_x
_atom_site_fract_y
_atom_site_fract_z
Ca1 0.0000 0.0000 0.0000
Pm1 0.0000 0.3339 0.2500
Pm2 0.3333 0.6667 0.0000
Pb1 0.0000 0.3345 0.7500
```

***

Record 2
The following is a PBE calculation of Ca4PmPb5 after structural relaxation, from Alexandria.

Properties
Total moment in μB per atom: 0.000
Calculated formation energy in kcal/mol of atoms: -11.80

The structure in CIF format:
```
data_Ca4PmPb5
_chemical_formula_sum 'Ca4 Pm1 Pb5'
_space_group_name_H-M_alt 'P 4/m m m'
_space_group_IT_number 123
_space_group_name_Hall '-P 4 2'
_cell_length_a 3.5906
_cell_length_b 3.5906
_cell_length_c 23.2350
_cell_angle_alpha 90.00
_cell_angle_beta 90.00
_cell_angle_gamma 90.00
loop_
_atom_site_label
_atom_site_fract_x
_atom_site_fract_y
_atom_site_fract_z
Ca1 0.0000 0.0000 0.1003
Ca2 0.0000 0.0000 0.2987
Pm1 0.0000 0.0000 0.5000
Pb1 0.5000 0.5000 0.0000
Pb2 0.5000 0.5000 0.1998
Pb3 0.5000 0.5000 0.3995
```

***

Record 3
The following is a PBE calculation of CaPm2Pb2 after structural relaxation, from Alexandria.

Properties
Total moment in μB per atom: 0.000
Calculated formation energy in kcal/mol of atoms: -5.92
E above lowest polymorph in meV/atom: 275.7

The structure in CIF format:
```
data_CaPm2Pb2
_chemical_formula_sum 'Ca2 Pm4 Pb4'
_space_group_name_H-M_alt 'C 1 2/m 1'
_space_group_IT_number 12
_space_group_name_Hall '-C 2y'
_cell_length_a 7.8215
_cell_length_b 6.6213
_cell_length_c 7.2096
_cell_angle_alpha 90.00
_cell_angle_beta 112.03
_cell_angle_gamma 90.00
loop_
_atom_site_label
_atom_site_fract_x
_atom_site_fract_y
_atom_site_fract_z
Ca1 0.0000 0.0000 0.0000
Pm1 0.0000 0.2526 0.5000
Pb1 0.1607 0.5000 0.1979
```

***

Question: Which formula does entry 2 have?
Answer: Ca4PmPb5